DFT (GGA-PBE) results for Fe2CuRh after structural relaxation.

Lattice parameters (Å, degrees): 2.6364 2.6364 25.6604 90.00 90.00 120.00
Space group R-3m (No. 166, hexagonal axes)
One atom of each set of equivalent atoms:
Fe  0.0000  0.0000  0.2485
Cu  0.0000  0.0000  0.5000
Rh  0.0000  0.0000  0.0000

Properties
magnetic moment	18.9	μB/cell
ΔE_f	0.129	eV per atom
Fermi-level density of states	17.19	states/eV per cell
mass density	9.0	Mg/m³

=====

DFT (GGA-PBE) results for Fe2Cu2Rh after structural relaxation.

Lattice parameters (Å, degrees): 6.941 6.941 2.679 90.00 90.00 90.00
Space group P4/mbm (No. 127)
One atom of each set of equivalent atoms:
Fe  0.119  0.381  0.000
Cu  0.177  0.677  0.500
Rh  0.000  0.000  0.000

Properties
magnetic moment	13.4	μB/cell
energy above the lowest structure with this stoichiometry	0.31	eV/f.u.
ΔE_f	0.302	eV per atom
Fermi-level density of states	9.77	states/eV per cell
mass density	8.8	Mg/m³

=====

DFT (GGA-PBE) results for Fe2CuRh after structural relaxation.

Lattice parameters (Å, degrees): 3.698 3.698 7.426 90.00 90.00 90.00
Space group I4/mmm (No. 139)
One atom of each set of equivalent atoms:
Fe  0.000  0.500  0.250
Cu  0.000  0.000  0.000
Rh  0.000  0.000  0.500

Properties
magnetic moment	12.7	μB/cell
ΔE_f	0.023	eV per atom
Fermi-level density of states	5.18	states/eV per cell
mass density	9.1	Mg/m³

=====

DFT (GGA-PBE) results for Fe2CuRh after structural relaxation.

Lattice parameters (Å, degrees): 2.654 3.691 5.191 90.00 90.00 90.00
Space group Pmmm (No. 47)
One atom of each set of equivalent atoms:
Fe  0.000  0.000  0.246
Cu  0.500  0.500  0.000
Rh  0.500  0.500  0.500

Properties
magnetic moment	6.1	μB/cell
ΔE_f	0.051	eV per atom
Fermi-level density of states	4.64	states/eV per cell
mass density	9.1	Mg/m³

=====

DFT (GGA-PBE) results for FeCu2Rh2 after structural relaxation.

Lattice parameters (Å, degrees): 6.630 6.630 3.117 90.00 90.00 90.00
Space group P4/mbm (No. 127)
One atom of each set of equivalent atoms:
Fe  0.000  0.000  0.000
Cu  0.132  0.368  0.000
Rh  0.167  0.667  0.500

Properties
magnetic moment	8.7	μB/cell
energy above the lowest structure with this stoichiometry	1.13	eV/f.u.
ΔE_f	0.274	eV per atom
Fermi-level density of states	10.57	states/eV per cell
mass density	9.4	Mg/m³

=====

DFT (GGA-PBE) results for Fe2CuRh after structural relaxation.

Lattice parameters (Å, degrees): 5.890 5.890 5.890 90.00 90.00 90.00
Space group F-43m (No. 216)
One atom of each set of equivalent atoms:
Fe  0.000  0.000  0.000
Fe  0.250  0.250  0.250
Cu  0.000  0.000  0.500
Rh  0.250  0.250  0.750

Properties
magnetic moment	25.3	μB/cell
ΔE_f	0.074	eV per atom
Fermi-level density of states	16.20	states/eV per cell
mass density	9.0	Mg/m³

=====

DFT (GGA-PBE) results for FeCuRh14 after structural relaxation.

Lattice parameters (Å, degrees): 8.842 5.429 9.372 90.00 90.00 90.00
Space group Amm2 (No. 38)
One atom of each set of equivalent atoms:
Fe  0.000  0.000  0.000
Cu  0.000  0.000  0.499
Rh  0.000  0.249  0.749
Rh  0.245  0.000  0.834
Rh  0.246  0.249  0.083
Rh  0.248  0.000  0.333
Rh  0.500  0.000  0.166
Rh  0.500  0.000  0.666
Rh  0.500  0.249  0.916

Properties
magnetic moment	6.4	μB/cell
ΔE_f	0.020	eV per atom
Fermi-level density of states	42.31	states/eV per cell
mass density	11.5	Mg/m³

=====

DFT (GGA-PBE) results for FeCu2Rh after structural relaxation.

Lattice parameters (Å, degrees): 2.803 4.332 8.510 90.00 90.00 90.00
Space group Cmm2 (No. 35)
One atom of each set of equivalent atoms:
Fe  0.000  0.000  0.000
Cu  0.000  0.000  0.512
Cu  0.000  0.500  0.755
Rh  0.000  0.500  0.251

Properties
magnetic moment	6.9	μB/cell
ΔE_f	0.114	eV per atom
Fermi-level density of states	6.26	states/eV per cell
mass density	9.2	Mg/m³

=====

DFT (GGA-PBE) results for Fe2CuRh after structural relaxation.

Lattice parameters (Å, degrees): 3.728 3.728 7.331 90.00 90.00 90.00
Space group I-4m2 (No. 119)
One atom of each set of equivalent atoms:
Fe  0.000  0.000  0.000
Fe  0.000  0.500  0.250
Cu  0.000  0.000  0.500
Rh  0.000  0.500  0.750

Properties
magnetic moment	12.7	μB/cell
ΔE_f	0.062	eV per atom
Fermi-level density of states	9.22	states/eV per cell
mass density	9.1	Mg/m³

=====

DFT (GGA-PBE) results for FeCu2Rh after structural relaxation.

Lattice parameters (Å, degrees): 6.717 6.717 4.942 90.00 90.00 90.00
Space group I-42d (No. 122)
One atom of each set of equivalent atoms:
Fe  0.000  0.000  0.000
Cu  0.238  0.750  0.125
Rh  0.000  0.000  0.500

Properties
magnetic moment	15.3	μB/cell
ΔE_f	0.483	eV per atom
Fermi-level density of states	17.30	states/eV per cell
mass density	8.5	Mg/m³

=====

DFT (GGA-PBE) results for Fe2CuRh9 after structural relaxation.

Lattice parameters (Å, degrees): 3.816 3.816 11.423 90.00 90.00 90.00
Space group P4/mmm (No. 123)
One atom of each set of equivalent atoms:
Fe  0.000  0.000  0.168
Cu  0.000  0.000  0.500
Rh  0.000  0.500  0.000
Rh  0.000  0.500  0.332
Rh  0.500  0.500  0.166
Rh  0.500  0.500  0.500

Properties
magnetic moment	8.5	μB/cell
ΔE_f	-0.006	eV per atom
Fermi-level density of states	18.60	states/eV per cell
mass density	11.0	Mg/m³

=====

DFT (GGA-PBE) results for FeCu2Rh2 after structural relaxation.

Lattice parameters (Å, degrees): 6.896 6.896 2.949 90.00 90.00 90.00
Space group P4/mbm (No. 127)
One atom of each set of equivalent atoms:
Fe  0.000  0.000  0.000
Cu  0.161  0.339  0.500
Rh  0.138  0.638  0.000

Properties
magnetic moment	8.0	μB/cell
energy above the lowest structure with this stoichiometry	1.30	eV/f.u.
ΔE_f	0.307	eV per atom
Fermi-level density of states	12.90	states/eV per cell
mass density	9.2	Mg/m³

=====

DFT (GGA-PBE) results for FeCu2Rh after structural relaxation.

Lattice parameters (Å, degrees): 3.742 3.742 7.258 90.00 90.00 90.00
Space group I-4m2 (No. 119)
One atom of each set of equivalent atoms:
Fe  0.000  0.000  0.000
Cu  0.000  0.000  0.500
Cu  0.000  0.500  0.750
Rh  0.000  0.500  0.250

Properties
magnetic moment	7.2	μB/cell
ΔE_f	0.016	eV per atom
Fermi-level density of states	5.31	states/eV per cell
mass density	9.3	Mg/m³